VASP calculation (PBE) on a geometry-optimized Pr2ErC2Cl2 structure.

Computed properties:
energy relative to the elements, uncorrected	-809.3	meV/atom
density	5935	kg/m³
magnetic moment	0.00	μB per formula unit
SG	I4/mmm (139)
density of states at the Fermi level	1.76	states/eV/cell

Cell: 4.5347 4.5347 14.8030 Å, 90.00 90.00 90.00°
With the nearest neighbours (Å) after each atom.
Element x y z (fractional)
1 Pr 0.0000 0.0000 0.1061  4 C 2.76, 1 Cl 3.00
2 Pr 0.0000 0.0000 0.8939  4 C 2.76, 1 Cl 3.00
3 Pr 0.5000 0.5000 0.3939  4 C 2.76, 1 Cl 3.00
4 Pr 0.5000 0.5000 0.6061  4 C 2.76, 1 Cl 3.00
5 Er 0.0000 0.0000 0.5000  4 C 2.27
6 Er 0.5000 0.5000 0.0000  4 C 2.27
7 C 0.0000 0.5000 0.0000  2 Er 2.27
8 C 0.0000 0.5000 0.5000  2 Er 2.27
9 C 0.5000 0.0000 0.0000  2 Er 2.27
10 C 0.5000 0.0000 0.5000  2 Er 2.27
11 Cl 0.0000 0.0000 0.3086  1 Er 2.83, 1 Pr 3.00
12 Cl 0.0000 0.0000 0.6914  1 Er 2.83, 1 Pr 3.00
13 Cl 0.5000 0.5000 0.1914  1 Er 2.83, 1 Pr 3.00
14 Cl 0.5000 0.5000 0.8086  1 Er 2.83, 1 Pr 3.00